[1]
DFT (PBE) results for a relaxed structure of Fe2CoCu.

abc: 2.4758 2.4758 7.5981
angles: 90.00 90.00 90.00
Site moments in Bohr magnetons follow the coordinates.
Fractional positions:
Co: 0.0000 0.0000 0.4984  1.60
Cu: 0.5000 0.5000 0.7463  0.12
Fe: 0.0000 0.0000 0.0004  2.56
Fe: 0.5000 0.5000 0.2549  2.52

## Properties
Its energy relative to the lowest polymorph listed for this composition is 49.3 meV per atom. Its space group is P4mm. The formation energy is 0.12 eV/atom.

[2]
DFT (PBE) results for a relaxed structure of Y7Er4Tm2.

abc: 9.3742 14.5637 6.1309
angles: 82.09 96.00 150.59
Fractional positions:
Y: 0.2300 0.7677 0.6139
Y: 0.7700 0.2323 0.3861
Y: 0.0000 0.0000 0.0000
Y: 0.8457 0.1537 0.9226
Y: 0.1543 0.8463 0.0774
Y: 0.4610 0.5382 0.2323
Y: 0.5390 0.4618 0.7677
Er: 0.0789 0.9249 0.5401
Er: 0.9211 0.0751 0.4599
Er: 0.6138 0.3829 0.3073
Er: 0.3862 0.6171 0.6927
Tm: 0.6943 0.3091 0.8465
Tm: 0.3057 0.6909 0.1535

## Properties
Its space group is P-1. The formation energy is 0.02 eV/atom.

[3]
DFT (PBE) results for a relaxed structure of In2SbP.

abc: 5.1393 5.1393 5.1393
angles: 60.00 60.00 60.00
Fractional positions:
Sb: 0.5000 0.5000 0.5000
P: 0.0000 0.0000 0.0000
In: 0.2500 0.2500 0.2500
In: 0.7500 0.7500 0.7500

## Properties
Its energy relative to the lowest polymorph listed for this composition is 446.8 meV per atom. The energy relative to the elements, uncorrected comes out at 303.5 meV per atom. Its space group is Fm-3m.

[4]
DFT (PBE) results for a relaxed structure of PmSmHoIn.

abc: 5.5240 5.5240 5.5240
angles: 60.00 60.00 60.00
Site moments in Bohr magnetons follow the coordinates.
Fractional positions:
In: 0.2500 0.2500 0.2500  0.00
Ho: 0.7500 0.7500 0.7500  0.25
Sm: 0.0000 0.0000 0.0000  0.14
Pm: 0.5000 0.5000 0.5000  0.15

## Properties
Its energy relative to the lowest polymorph listed for this composition is 84.3 meV per atom. Its space group is F-43m. The formation energy is -0.15 eV/atom.

[5]
DFT (PBE) results for a relaxed structure of CsKTlIr2.

abc: 5.2711 5.2711 6.1698
angles: 90.00 90.00 90.00
Fractional positions:
Cs: 0.0000 0.0000 0.0000
Tl: 0.0000 0.0000 0.5000
Ir: 0.0000 0.5000 0.0000
Ir: 0.5000 0.0000 0.0000
K: 0.5000 0.5000 0.5000

## Properties
Its space group is P4/mmm. The formation energy is 1.84 eV/atom.

[6]
DFT (PBE) results for a relaxed structure of Na2InCl3.

abc: 4.4340 7.3815 10.5953
angles: 90.00 90.00 107.48
Fractional positions:
Na: 0.0000 0.0000 0.0000
Na: 0.0000 0.0000 0.5000
Na: 0.5130 0.0260 0.2500
Na: 0.4870 0.9740 0.7500
In: 0.2422 0.4844 0.2500
In: 0.7578 0.5156 0.7500
Cl: 0.6275 0.2549 0.0562
Cl: 0.0851 0.1702 0.7500
Cl: 0.6275 0.2549 0.4438
Cl: 0.9149 0.8298 0.2500
Cl: 0.3725 0.7451 0.9438
Cl: 0.3725 0.7451 0.5562

## Properties
The energy relative to the elements, uncorrected comes out at -1372.0 meV per atom. Its space group is Cmcm.

[7]
DFT (PBE) results for a relaxed structure of La2ScHgRu.

abc: 5.5020 5.5020 5.0255
angles: 90.00 90.00 90.00
Fractional positions:
Sc: 0.0000 0.0000 0.5000
Ru: 0.0000 0.0000 0.0000
Hg: 0.5000 0.5000 0.5000
La: 0.0000 0.5000 0.0000
La: 0.5000 0.0000 0.0000

## Properties
Its space group is P4/mmm. The formation energy is -0.24 eV/atom.

[8]
DFT (PBE) results for a relaxed structure of Pm4CuSe3.

abc: 4.1219 7.3061 7.3061
angles: 108.94 90.00 90.00
Fractional positions:
Se: 0.0000 0.0000 0.5000
Se: 0.5000 0.5000 0.5000
Se: 0.0000 0.5000 0.0000
Cu: 0.5000 0.0000 0.0000
Pm: 0.0000 0.2425 0.2425
Pm: 0.5000 0.7517 0.2483
Pm: 0.0000 0.7575 0.7575
Pm: 0.5000 0.2483 0.7517

## Properties
The energy relative to the elements, uncorrected comes out at -1417.5 meV per atom. Its space group is Cmmm.

[9]
DFT (PBE) results for a relaxed structure of Rb2Mg2Se3.

abc: 7.3775 11.6594 11.6594
angles: 81.95 70.74 70.74
Fractional positions:
Rb: 0.8699 0.0077 0.1881
Rb: 0.3699 0.1881 0.0077
Rb: 0.7500 0.2879 0.7121
Rb: 0.7500 0.5667 0.4333
Rb: 0.2500 0.4333 0.5667
Rb: 0.2500 0.7121 0.2879
Rb: 0.6301 0.8119 0.9923
Rb: 0.1301 0.9923 0.8119
Mg: 0.6493 0.3515 0.1986
Mg: 0.6263 0.0750 0.5357
Mg: 0.1493 0.1986 0.3515
Mg: 0.1263 0.5357 0.0750
Mg: 0.8737 0.4643 0.9250
Mg: 0.8507 0.8014 0.6485
Mg: 0.3737 0.9250 0.4643
Mg: 0.3507 0.6485 0.8014
Se: 0.7536 0.2549 0.4018
Se: 0.7426 0.5527 0.1440
Se: 0.2536 0.4018 0.2549
Se: 0.2426 0.1440 0.5527
Se: 0.8389 0.2484 0.9903
Se: 0.1611 0.7516 0.0097
Se: 0.7574 0.8560 0.4473
Se: 0.7464 0.5982 0.7451
Se: 0.3389 0.9903 0.2484
Se: 0.2574 0.4473 0.8560
Se: 0.2464 0.7451 0.5982
Se: 0.6611 0.0097 0.7516

## Properties
The energy relative to the elements, uncorrected comes out at -1244.5 meV per atom. Its space group is C2/c.

[10]
DFT (PBE) results for a relaxed structure of LaNd2Th3Se6.

abc: 7.2552 7.2552 7.3870
angles: 99.36 99.36 119.33
Fractional positions:
La: 0.0000 0.0000 0.0000
Nd: 0.3335 0.6665 0.0000
Nd: 0.6665 0.3335 0.0000
Th: 0.1657 0.8343 0.5000
Th: 0.8343 0.1657 0.5000
Th: 0.5000 0.5000 0.5000
Se: 0.9164 0.5800 0.7489
Se: 0.7470 0.7470 0.2500
Se: 0.0836 0.4200 0.2511
Se: 0.5800 0.9164 0.7489
Se: 0.2530 0.2530 0.7500
Se: 0.4200 0.0836 0.2511

## Properties
The energy relative to the elements, uncorrected comes out at -1703.9 meV per atom. Its space group is C2/m.

[11]
DFT (PBE) results for a relaxed structure of Tb2Pr6Y3Er.

abc: 6.3206 6.3206 11.9149
angles: 95.06 95.06 120.00
Fractional positions:
Tb: 0.3333 0.6667 0.0000
Tb: 0.6667 0.3333 0.0000
Pr: 0.9166 0.5837 0.7511
Pr: 0.7503 0.7503 0.2492
Pr: 0.0834 0.4163 0.2489
Pr: 0.5837 0.9166 0.7511
Pr: 0.2497 0.2497 0.7508
Pr: 0.4163 0.0834 0.2489
Y: 0.1667 0.8333 0.5000
Y: 0.8333 0.1667 0.5000
Y: 0.5000 0.5000 0.5000
Er: 0.0000 0.0000 0.0000

## Properties
Its space group is C2/m. The formation energy is 0.01 eV/atom.

[12]
DFT (PBE) results for a relaxed structure of LiP2NCl.

abc: 4.4500 4.4500 4.5854
angles: 90.00 90.00 90.00
Site moments in Bohr magnetons follow the coordinates.
Fractional positions:
P: 0.0000 0.5000 0.0000  -0.22
P: 0.5000 0.0000 0.0000  -0.22
N: 0.5000 0.5000 0.5000  1.62
Li: 0.0000 0.0000 0.0000  0.01
Cl: 0.0000 0.0000 0.5000  0.04

## Properties
Its energy relative to the lowest polymorph listed for this composition is 1300.8 meV per atom. The energy relative to the elements, uncorrected comes out at 1566.9 meV per atom. Its space group is P4/mmm.

Number 1: E -6.915 eV per atom, size of the total moment 6.7 μB per cell. Number 2: E -5.548 eV per atom, size of the total moment 0.0 μB per cell. Number 3: E -3.449 eV per atom, size of the total moment 0.0 μB per cell. Number 4: E -4.345 eV per atom, size of the total moment 0.9 μB per cell. Number 5: E -2.569 eV per atom, size of the total moment 0.0 μB per cell. Number 6: E -3.191 eV per atom, size of the total moment 0.0 μB per cell. Number 7: E -5.390 eV per atom, size of the total moment 0.0 μB per cell. Number 8: E -5.612 eV per atom, size of the total moment 0.0 μB per cell. Number 9: E -3.470 eV per atom, size of the total moment 0.0 μB per cell. Number 10: E -6.506 eV per atom, size of the total moment 0.0 μB per cell. Number 11: E -5.149 eV per atom, size of the total moment 0.0 μB per cell. Number 12: E -3.014 eV per atom, size of the total moment 1.5 μB per cell.